Record 1
Hg4Te2AsI | GGA-PBE | relaxed

The structure in CIF format:
```
data_Hg4Te2AsI
_chemical_formula_sum 'Hg8 Te4 As2 I2'
_cell_length_a 8.6659
_cell_length_b 8.6659
_cell_length_c 8.6928
_cell_angle_alpha 120.09
_cell_angle_beta 120.09
_cell_angle_gamma 90.12
_symmetry_space_group_name_H-M 'P 1'
_symmetry_Int_Tables_number 1
_symmetry_space_group_name_Hall 'P 1'
loop_
_atom_site_label
_atom_site_fract_x
_atom_site_fract_y
_atom_site_fract_z
_atom_site_occupancy
Te1 0.0000 0.0000 0.5000 1
I1 0.0000 0.5000 0.0000 1
Hg1 0.7434 0.7566 0.5178 1
Hg2 0.7434 0.7566 0.9822 1
Te2 0.5000 0.5000 0.0000 1
As1 0.0000 0.0000 0.0000 1
Te3 0.5000 0.0000 0.5000 1
Hg3 0.7463 0.2212 0.9837 1
Hg4 0.2566 0.2434 0.0178 1
As2 0.5000 0.5000 0.5000 1
Hg5 0.7212 0.2463 0.4837 1
I2 0.0000 0.5000 0.5000 1
Te4 0.5000 0.0000 0.0000 1
Hg6 0.2788 0.7537 0.5163 1
Hg7 0.2537 0.7788 0.0163 1
Hg8 0.2566 0.2434 0.4822 1
```

DFT total energy = -1.642 eV/atom
ΔE_f (raw) = 0.069 eV/atom



Record 2
TlHg2AsI | GGA-PBE | relaxed

The structure in CIF format:
```
data_TlHg2AsI
_chemical_formula_sum 'Tl1 Hg2 As1 I1'
_cell_length_a 5.3889
_cell_length_b 6.0963
_cell_length_c 5.3889
_cell_angle_alpha 90.00
_cell_angle_beta 90.00
_cell_angle_gamma 90.00
_symmetry_space_group_name_H-M 'P 1'
_symmetry_Int_Tables_number 1
_symmetry_space_group_name_Hall 'P 1'
loop_
_atom_site_label
_atom_site_fract_x
_atom_site_fract_y
_atom_site_fract_z
_atom_site_occupancy
Hg1 0.5000 0.0000 0.0000 1
Tl1 0.0000 0.5000 0.0000 1
I1 0.5000 0.5000 0.5000 1
As1 0.0000 0.0000 0.0000 1
Hg2 0.0000 0.0000 0.5000 1
```

DFT total energy = -1.926 eV/atom
ΔE_f (raw) = -0.092 eV/atom



Record 3
ZnHgAs2I | GGA-PBE | relaxed

The structure in CIF format:
```
data_ZnHgAs2I
_chemical_formula_sum 'Zn1 Hg1 As2 I1'
_cell_length_a 4.8640
_cell_length_b 6.1806
_cell_length_c 4.8640
_cell_angle_alpha 90.00
_cell_angle_beta 90.00
_cell_angle_gamma 90.00
_symmetry_space_group_name_H-M 'P 1'
_symmetry_Int_Tables_number 1
_symmetry_space_group_name_Hall 'P 1'
loop_
_atom_site_label
_atom_site_fract_x
_atom_site_fract_y
_atom_site_fract_z
_atom_site_occupancy
Hg1 0.5000 0.5000 0.5000 1
Zn1 0.0000 0.0000 0.0000 1
As1 0.0000 0.0000 0.5000 1
As2 0.5000 0.0000 0.0000 1
I1 0.0000 0.5000 0.0000 1
```

DFT total energy = -1.910 eV/atom
ΔE_f (raw) = 0.575 eV/atom



Record 4
InHg2As | GGA-PBE | relaxed

The structure in CIF format:
```
data_InHg2As
_chemical_formula_sum 'In1 Hg2 As1'
_cell_length_a 5.9134
_cell_length_b 3.0262
_cell_length_c 6.3047
_cell_angle_alpha 62.59
_cell_angle_beta 90.00
_cell_angle_gamma 90.00
_symmetry_space_group_name_H-M 'P 1'
_symmetry_Int_Tables_number 1
_symmetry_space_group_name_Hall 'P 1'
loop_
_atom_site_label
_atom_site_fract_x
_atom_site_fract_y
_atom_site_fract_z
_atom_site_occupancy
Hg1 0.5000 0.2522 0.1252 1
In1 0.0000 0.7485 0.6249 1
As1 0.5000 0.7509 0.6251 1
Hg2 0.0000 0.7484 0.1248 1
```

DFT total energy = -1.905 eV/atom



Record 5
InHg2As | GGA-PBE | relaxed

The structure in CIF format:
```
data_InHg2As
_chemical_formula_sum 'In1 Hg2 As1'
_cell_length_a 5.6803
_cell_length_b 5.6803
_cell_length_c 5.3996
_cell_angle_alpha 61.70
_cell_angle_beta 61.70
_cell_angle_gamma 40.62
_symmetry_space_group_name_H-M 'P 1'
_symmetry_Int_Tables_number 1
_symmetry_space_group_name_Hall 'P 1'
loop_
_atom_site_label
_atom_site_fract_x
_atom_site_fract_y
_atom_site_fract_z
_atom_site_occupancy
Hg1 0.5145 0.5145 0.4855 1
As1 0.2500 0.2500 0.2500 1
Hg2 0.9855 0.9855 0.0145 1
In1 0.7500 0.7500 0.7500 1
```

DFT total energy = -1.839 eV/atom



Record 6
InHg2As | GGA-PBE | relaxed

The structure in CIF format:
```
data_InHg2As
_chemical_formula_sum 'In1 Hg2 As1'
_cell_length_a 6.3869
_cell_length_b 6.3869
_cell_length_c 6.3869
_cell_angle_alpha 141.72
_cell_angle_beta 141.72
_cell_angle_gamma 55.25
_symmetry_space_group_name_H-M 'P 1'
_symmetry_Int_Tables_number 1
_symmetry_space_group_name_Hall 'P 1'
loop_
_atom_site_label
_atom_site_fract_x
_atom_site_fract_y
_atom_site_fract_z
_atom_site_occupancy
Hg1 0.5000 0.5000 0.0000 1
As1 0.7500 0.2500 0.5000 1
In1 0.2500 0.7500 0.5000 1
Hg2 0.0000 0.0000 0.0000 1
```

DFT total energy = -1.846 eV/atom



Record 7
InHg2As | GGA-PBE | relaxed

The structure in CIF format:
```
data_InHg2As
_chemical_formula_sum 'In2 Hg4 As2'
_cell_length_a 8.2709
_cell_length_b 8.2709
_cell_length_c 6.5492
_cell_angle_alpha 50.84
_cell_angle_beta 50.84
_cell_angle_gamma 90.00
_symmetry_space_group_name_H-M 'P 1'
_symmetry_Int_Tables_number 1
_symmetry_space_group_name_Hall 'P 1'
loop_
_atom_site_label
_atom_site_fract_x
_atom_site_fract_y
_atom_site_fract_z
_atom_site_occupancy
As1 0.2500 0.7500 0.5000 1
As2 0.5000 0.5000 0.0000 1
Hg1 0.1534 0.6250 0.2500 1
In1 0.7500 0.2500 0.5000 1
Hg2 0.5966 0.1250 0.2500 1
In2 0.0000 0.0000 0.0000 1
Hg3 0.3750 0.4034 0.7500 1
Hg4 0.8750 0.8466 0.7500 1
```

DFT total energy = -1.865 eV/atom



Record 8
InHg2As2 | GGA-PBE | relaxed

The structure in CIF format:
```
data_InHg2As2
_chemical_formula_sum 'In1 Hg2 As2'
_cell_length_a 5.3344
_cell_length_b 5.3344
_cell_length_c 5.9383
_cell_angle_alpha 63.31
_cell_angle_beta 63.31
_cell_angle_gamma 90.00
_symmetry_space_group_name_H-M 'P 1'
_symmetry_Int_Tables_number 1
_symmetry_space_group_name_Hall 'P 1'
loop_
_atom_site_label
_atom_site_fract_x
_atom_site_fract_y
_atom_site_fract_z
_atom_site_occupancy
Hg1 0.2500 0.7500 0.5000 1
In1 0.0000 0.0000 0.0000 1
Hg2 0.7500 0.2500 0.5000 1
As1 0.6333 0.6333 0.7334 1
As2 0.3667 0.3667 0.2666 1
```

DFT total energy = -2.356 eV/atom
E above lowest polymorph = 0.0187 eV per atom



Question: Which of these has the lowest DFT total energy?
Answer: InHg2As2